This record from the Alexandria database describes a relaxed structure of Ga2HgCl. The functional is PBE-GGA.

```
Ga2HgCl
1.0
3.8305 0.0000 0.0000
0.0000 3.8305 0.0000
0.0000 0.0000 6.4816
Ga Hg Cl
2 1 1
Direct
0.0000 0.0000 0.2485
0.0000 0.0000 0.7515
0.5000 0.5000 0.5000
0.5000 0.5000 0.0000
```

Summary:
electronic total energy	-2.214	eV per atom
energy relative to the elements, uncorrected	-0.16	eV per atom

This record from the Alexandria database describes a relaxed structure of K2CeF5. The functional is PBE-GGA.

```
K2CeF5
1.0
11.0717 0.0000 0.0000
0.0000 7.6780 0.0000
0.0000 0.0000 6.7565
K Ce F
8 4 20
Direct
0.1708 0.0033 0.0275
0.1708 0.4967 0.0275
0.3292 0.5033 0.5275
0.3292 0.9967 0.5275
0.6708 0.0033 0.4725
0.6708 0.4967 0.4725
0.8292 0.5033 0.9725
0.8292 0.9967 0.9725
0.0021 0.2500 0.5613
0.4979 0.7500 0.0613
0.5021 0.2500 0.9387
0.9979 0.7500 0.4387
0.0098 0.2500 0.9070
0.0831 0.5317 0.6486
0.0831 0.9683 0.6486
0.1703 0.2500 0.3604
0.1982 0.7500 0.3309
0.3018 0.2500 0.8309
0.3297 0.7500 0.8604
0.4169 0.0317 0.1486
0.4169 0.4683 0.1486
0.4902 0.7500 0.4070
0.5098 0.2500 0.5930
0.5831 0.5317 0.8514
0.5831 0.9683 0.8514
0.6703 0.2500 0.1396
0.6982 0.7500 0.1691
0.8018 0.2500 0.6691
0.8297 0.7500 0.6396
0.9169 0.0317 0.3514
0.9169 0.4683 0.3514
0.9902 0.7500 0.0930
```

Summary:
electronic total energy	-5.597	eV per atom
energy relative to the elements, uncorrected	-3.41	eV per atom

no.,V (Å³ per atom),size of the total moment (μB per atom)
1,23.775,0.00
2,17.949,0.13